The following is a PBE calculation of a relaxed structure of Zn4MoOs2, from Alexandria.

```
Zn4MoOs2
1.0
4.754 0.000 0.000
0.000 4.754 0.000
2.377 2.377 6.317
Zn Mo Os
4 1 2
direct
0.204 0.204 0.593
0.500 0.000 0.000
0.000 0.500 0.000
0.796 0.796 0.407
0.000 0.000 0.000
0.405 0.405 0.191
0.595 0.595 0.809
```

## Properties
total magnetic moment: 3.3 μB/f.u.
total DFT energy (no corrections): -28.60 eV per formula unit
ΔE_f: 1.399 eV/atom